Record 1
First-principles (PBE) data for crystalline OsSeO at its relaxed geometry, as listed in Alexandria.

Geometry as POSCAR:
```
OsSeO
1.0
-0.575 -4.166 3.254
4.748 1.062 -2.145
1.356 3.521 4.746
Os Se O
3 3 3
Direct
0.849 0.354 0.639 Os
0.505 0.151 0.972 Os
0.646 0.495 0.305 Os
0.743 0.016 0.262 Se
0.984 0.728 0.929 Se
0.272 0.257 0.595 Se
0.043 0.676 0.433 O
0.633 0.957 0.766 O
0.324 0.367 0.099 O
```

Total magnetic moment ... 0.000 μB per atom
Fermi-level density of states ... 0.8 states/eV/f.u.
Formation energy (no corrections) ... -0.1305 eV/atom

---

Record 2
First-principles (PBE) data for crystalline NpFe2Si2 at its relaxed geometry, as listed in Alexandria.

Geometry as POSCAR:
```
NpFe2Si2
1.0
-0.726 1.435 3.611
-1.328 -3.543 1.141
5.371 -0.139 -1.028
Np Fe Si
1 2 2
Direct
0.000 0.000 0.000 Np
0.750 0.250 0.500 Fe
0.250 0.750 0.500 Fe
0.630 0.630 0.261 Si
0.370 0.370 0.739 Si
```

Total magnetic moment ... 0.555 μB per atom
Fermi-level density of states ... 11.9 states/eV/f.u.
Formation energy (no corrections) ... -0.4135 eV/atom

---

Record 3
First-principles (PBE) data for crystalline NdDyInSn at its relaxed geometry, as listed in Alexandria.

Geometry as POSCAR:
```
NdDyInSn
1.0
-2.687 3.320 -1.771
0.607 -1.644 -4.003
-3.315 -5.062 1.576
Nd Dy In Sn
1 1 1 1
Direct
0.863 0.500 0.726 Nd
0.137 0.000 0.273 Dy
0.414 0.000 0.828 In
0.587 0.500 0.173 Sn
```

Excess energy over the best structure of this formula in the dataset ... 0 meV/atom
Total magnetic moment ... 0.000 μB per atom
Fermi-level density of states ... 3.8 states/eV/f.u.

---

- The lowest Fermi-level density of states belongs to which entry?
  OsSeO

---

- total magnetic moment of number 1 (OsSeO)?
  0.000 μB per atom

---

- What is the formula in the second record?
  NpFe2Si2

---

- What is the Fermi-level density of states in the second record?
  11.9 states/eV/f.u.